[1]
Material: YTcAu2
Method: DFT, PBEsol
State: relaxed Values from VASP.

Properties
The spin magnetization is 1.71 μB per cell. The calculation puts the total energy at -6.418 eV/atom.

```
&SYSTEM
  ibrav = 0, nat = 4, ntyp = 3
/
ATOMIC_SPECIES
Au 196.97 Au.upf
Tc 98.00 Tc.upf
Y 88.91 Y.upf
CELL_PARAMETERS angstrom
-3.759 0.344 -2.777
-1.727 -3.822 -2.090
-4.109 -1.775 1.388
ATOMIC_POSITIONS angstrom
Au 0.000 0.000 0.000
Au -2.399 -1.313 -0.870
Tc -4.798 -2.627 -1.740
Y -7.197 -3.940 -2.609
```

***

[2]
Material: CrInC2
Method: DFT, PBEsol
State: relaxed Values from VASP.

Properties
The spin magnetization is 1.80 μB per cell. The calculation puts the total energy at -7.316 eV/atom.

```
&SYSTEM
  ibrav = 0, nat = 8, ntyp = 3
/
ATOMIC_SPECIES
C 12.01 C.upf
In 114.82 In.upf
Cr 52.00 Cr.upf
CELL_PARAMETERS angstrom
4.791 0.000 0.000
0.000 4.791 0.000
-2.396 -2.396 4.577
ATOMIC_POSITIONS angstrom
C -1.198 -0.870 3.433
C 1.198 0.870 3.433
C 3.265 1.198 1.144
C 1.526 3.593 1.144
In 0.000 2.396 2.289
In 0.000 0.000 0.000
Cr 2.396 2.396 0.000
Cr 2.396 0.000 2.289
```

***

[3]
Material: MnRu2Pb
Method: DFT, PBEsol
State: relaxed Values from VASP.

Properties
The spin magnetization is 4.04 μB per cell. The calculation puts the total energy at -7.855 eV/atom.

```
&SYSTEM
  ibrav = 0, nat = 4, ntyp = 3
/
ATOMIC_SPECIES
Mn 54.94 Mn.upf
Ru 101.07 Ru.upf
Pb 207.20 Pb.upf
CELL_PARAMETERS angstrom
2.882 0.028 0.000
-0.331 4.931 0.000
-1.275 -2.480 4.436
ATOMIC_POSITIONS angstrom
Mn -0.165 2.466 0.000
Ru 0.638 1.240 2.218
Ru -0.638 -1.240 2.218
Pb 1.441 0.014 0.000
```

***

[4]
Material: PS2ClF
Method: DFT, PBEsol
State: relaxed Values from VASP.

Properties
Its formation energy from raw total energies is 1166.2 meV/atom. The spin magnetization is 0.03 μB per cell. The calculation puts the distance to the lowest polymorph of the same formula at 0.346 eV per atom.

```
&SYSTEM
  ibrav = 0, nat = 5, ntyp = 4
/
ATOMIC_SPECIES
Cl 35.45 Cl.upf
S 32.06 S.upf
P 30.97 P.upf
F 19.00 F.upf
CELL_PARAMETERS angstrom
4.526 0.000 0.000
0.000 4.526 0.000
0.000 0.000 4.635
ATOMIC_POSITIONS angstrom
Cl 0.000 0.000 0.000
S 2.263 0.000 0.000
S 0.000 2.263 0.000
P 0.000 0.000 2.317
F 2.263 2.263 2.317
```

***

[5]
Material: CdCo
Method: DFT, PBEsol
State: relaxed Values from VASP.

Properties
The spin magnetization is 1.44 μB per cell. The calculation puts the total energy at -4.027 eV/atom.

```
&SYSTEM
  ibrav = 0, nat = 2, ntyp = 2
/
ATOMIC_SPECIES
Co 58.93 Co.upf
Cd 112.41 Cd.upf
CELL_PARAMETERS angstrom
-0.950 -0.753 2.514
-1.987 -1.948 0.215
2.099 -4.016 1.140
ATOMIC_POSITIONS angstrom
Co -0.419 -3.358 1.934
Cd 0.000 0.000 0.000
```

***

[6]
Material: LiIn2Tc
Method: DFT, PBEsol
State: relaxed Values from VASP.

Properties
The spin magnetization is 0.55 μB per cell. The calculation puts the distance to the lowest polymorph of the same formula at 0.037 eV per atom.

```
&SYSTEM
  ibrav = 0, nat = 4, ntyp = 3
/
ATOMIC_SPECIES
In 114.82 In.upf
Li 6.94 Li.upf
Tc 98.00 Tc.upf
CELL_PARAMETERS angstrom
-2.007 -1.325 -2.069
-1.823 -2.488 3.362
-1.567 5.033 0.730
ATOMIC_POSITIONS angstrom
In -2.562 0.438 2.204
In -0.186 -0.076 0.229
Li -3.493 2.973 1.485
Tc -2.639 1.011 -0.520
```

***

[7]
Material: Tl2ZnSi
Method: DFT, PBEsol
State: relaxed Values from VASP.

Properties
Its formation energy from raw total energies is 246.3 meV/atom. The spin magnetization is 0.00 μB per cell. The calculation puts the distance to the lowest polymorph of the same formula at 0.000 eV per atom.

```
&SYSTEM
  ibrav = 0, nat = 4, ntyp = 3
/
ATOMIC_SPECIES
Tl 204.38 Tl.upf
Zn 65.41 Zn.upf
Si 28.09 Si.upf
CELL_PARAMETERS angstrom
-0.672 -3.200 -0.480
0.216 -0.533 3.254
-7.926 1.547 0.780
ATOMIC_POSITIONS angstrom
Tl -5.833 -0.772 1.939
Tl -0.319 0.062 0.031
Zn -3.535 0.690 0.348
Si -2.658 -1.392 1.626
```

***

[8]
Material: Lu2Cr2C3
Method: DFT, PBEsol
State: relaxed Values from VASP.

Properties
The spin magnetization is 0.00 μB per cell. The calculation puts the total energy at -8.876 eV/atom.

```
&SYSTEM
  ibrav = 0, nat = 7, ntyp = 3
/
ATOMIC_SPECIES
C 12.01 C.upf
Lu 174.97 Lu.upf
Cr 52.00 Cr.upf
CELL_PARAMETERS angstrom
3.235 0.000 0.000
0.000 5.395 0.005
-1.618 -1.483 4.951
ATOMIC_POSITIONS angstrom
C 1.618 3.453 2.204
C 0.000 0.459 2.752
C 0.000 0.000 0.000
Lu 0.000 2.527 3.873
Lu 1.618 1.385 1.084
Cr 0.000 4.311 1.532
Cr 1.618 -0.399 3.425
```

***

Number 1: calculated density 13.25 Mg/m³. Number 2: calculated density 6.03 Mg/m³. Number 3: calculated density 12.22 Mg/m³. Number 4: calculated density 2.62 Mg/m³. Number 5: calculated density 9.62 Mg/m³. Number 6: calculated density 7.95 Mg/m³. Number 7: calculated density 9.41 Mg/m³. Number 8: calculated density 9.41 Mg/m³.